Density functional theory data (PBE) for a relaxed structure of La4Pr2Sm.

Values from the calculation:
Total moment = 0.000 μB/atom
Excess energy over the best structure of this formula in the dataset = 0.000 eV per atom
DFT formation energy = 1.3 kJ/mol of atoms

Cell: 6.433 8.279 9.842 Å, 89.95 89.82 75.26°
Space group P1 (No. 1)
One atom of each set of equivalent atoms:
1 La 0.000 0.000 0.000 (multiplicity 1)
2 La 0.001 0.501 0.501 (multiplicity 1)
3 La 0.143 0.574 0.143 (multiplicity 1)
4 La 0.286 0.645 0.787 (multiplicity 1)
5 La 0.428 0.214 0.928 (multiplicity 1)
6 La 0.430 0.715 0.430 (multiplicity 1)
7 La 0.570 0.287 0.572 (multiplicity 1)
8 La 0.713 0.359 0.214 (multiplicity 1)
9 Pr 0.285 0.143 0.286 (multiplicity 1)
10 Pr 0.714 0.860 0.716 (multiplicity 1)
11 Pr 0.857 0.430 0.857 (multiplicity 1)
12 Pr 0.857 0.930 0.358 (multiplicity 1)
13 Sm 0.142 0.072 0.643 (multiplicity 1)
14 Sm 0.573 0.788 0.073 (multiplicity 1)